(1)
HfAlInF2 | the Alexandria database | PBE-GGA | optimized geometry; density of states at the Fermi level = 0.342 states/eV/atom; volume = 20.551 A^3/atom; energy = -27.68 eV for the cell shown; E_form (uncorrected) = -1.50 eV/atom
1.0
4.124 0.000 0.000
0.000 4.124 0.000
0.000 0.000 6.043
Hf Al In F
1 1 1 2
direct
0.000 0.000 0.000
0.500 0.500 0.500
0.000 0.000 0.500
0.000 0.500 0.000
0.500 0.000 0.000



(2)
Sm3Fe2Co7 | the Alexandria database | PBE-GGA | optimized geometry; energy relative to the elements = -0.1014 eV/atom; density of states at the Fermi level = 1.180 states/eV/atom; volume = 15.142 A^3/atom; energy = -82.04 eV for the cell shown
1.0
2.565 1.481 7.972
-2.565 1.481 7.972
0.000 -2.962 7.972
Sm Fe Co
3 2 7
direct
0.000 0.000 0.000
0.141 0.141 0.141
0.859 0.859 0.859
0.333 0.333 0.333
0.667 0.667 0.667
0.082 0.580 0.580
0.420 0.420 0.918
0.420 0.918 0.420
0.500 0.500 0.500
0.580 0.082 0.580
0.580 0.580 0.082
0.918 0.420 0.420



(3)
Li2AlHg | the Alexandria database | PBE-GGA | optimized geometry; energy relative to the elements = -0.2051 eV/atom; density of states at the Fermi level = 0.498 states/eV/atom; volume = 17.343 A^3/atom; energy = -8.69 eV for the cell shown
1.0
-2.038 2.038 4.175
2.038 -2.038 4.175
2.038 2.038 -4.175
Li Al Hg
2 1 1
direct
0.250 0.750 0.500
0.750 0.250 0.500
0.000 0.000 0.000
0.500 0.500 0.000



(4)
AcAlIr | the Alexandria database | PBE-GGA | optimized geometry; excess energy over the best structure of this formula in the dataset = 69 meV per atom; energy relative to the elements = -0.6709 eV/atom; density of states at the Fermi level = 0.624 states/eV/atom; volume = 24.500 A^3/atom; energy = -18.72 eV for the cell shown
1.0
4.370 0.000 0.000
-2.185 3.784 0.000
0.000 0.000 4.444
Ac Al Ir
1 1 1
direct
0.000 0.000 0.000
0.667 0.333 0.500
0.333 0.667 0.501



(5)
CeH4Pd2 | the Alexandria database | PBE-GGA | optimized geometry; density of states at the Fermi level = 0.891 states/eV/atom; volume = 10.719 A^3/atom; energy = -32.39 eV for the cell shown
1.0
2.095 -4.727 0.000
2.095 4.727 0.000
0.000 0.000 3.788
Ce H Pd
1 4 2
direct
0.000 0.000 0.000
0.164 0.836 0.500
0.360 0.640 0.000
0.640 0.360 0.000
0.836 0.164 0.500
0.355 0.645 0.500
0.645 0.355 0.500



(6)
PrPbO4 | the Alexandria database | PBE-GGA | optimized geometry; density of states at the Fermi level = 0.824 states/eV/atom; volume = 14.419 A^3/atom; energy = -37.88 eV for the cell shown; E_form (uncorrected) = -1.59 eV/atom
1.0
3.906 0.000 0.000
0.000 3.906 0.000
0.000 0.000 5.671
Pr Pb O
1 1 4
direct
0.000 0.000 0.000
0.500 0.500 0.500
0.000 0.500 0.266
0.000 0.500 0.734
0.500 0.000 0.266
0.500 0.000 0.734



(7)
TbBe2ZnPt5 | the Alexandria database | PBE-GGA | optimized geometry; energy relative to the elements = -0.6634 eV/atom; density of states at the Fermi level = 0.342 states/eV/atom; volume = 15.268 A^3/atom; energy = -49.53 eV for the cell shown
1.0
4.365 0.000 0.000
0.000 4.365 0.000
0.000 0.000 7.211
Tb Be Zn Pt
1 2 1 5
direct
0.000 0.000 0.000
0.500 0.500 0.340
0.500 0.500 0.660
0.000 0.000 0.500
0.000 0.500 0.282
0.000 0.500 0.718
0.500 0.000 0.282
0.500 0.000 0.718
0.500 0.500 0.000



(8)
AcSiAgSb | the Alexandria database | PBE-GGA | optimized geometry; density of states at the Fermi level = 0.697 states/eV/atom; volume = 25.685 A^3/atom; energy = -16.96 eV for the cell shown; E_form (uncorrected) = -0.11 eV/atom
1.0
0.000 3.717 3.717
3.717 0.000 3.717
3.717 3.717 0.000
Ac Si Ag Sb
1 1 1 1
direct
0.000 0.000 0.000
0.250 0.250 0.250
0.750 0.750 0.750
0.500 0.500 0.500



(9)
Tb2CrPt9 | the Alexandria database | PBE-GGA | optimized geometry; energy relative to the elements = -0.7407 eV/atom; density of states at the Fermi level = 1.031 states/eV/atom; volume = 16.762 A^3/atom; energy = -82.14 eV for the cell shown
1.0
4.060 0.000 0.000
0.000 4.060 0.000
0.000 0.000 12.205
Tb Cr Pt
2 1 9
direct
0.000 0.000 0.171
0.000 0.000 0.829
0.000 0.000 0.500
0.000 0.500 0.000
0.000 0.500 0.347
0.000 0.500 0.653
0.500 0.000 0.000
0.500 0.000 0.347
0.500 0.000 0.653
0.500 0.500 0.173
0.500 0.500 0.500
0.500 0.500 0.827



(10)
Cu2MoIr | the Alexandria database | PBE-GGA | optimized geometry; excess energy over the best structure of this formula in the dataset = 696 meV per atom; energy relative to the elements = 0.7287 eV/atom; density of states at the Fermi level = 1.216 states/eV/atom; volume = 14.885 A^3/atom; energy = -49.94 eV for the cell shown
1.0
-3.434 3.434 2.525
3.434 -3.434 2.525
3.434 3.434 -2.525
Cu Mo Ir
4 2 2
direct
0.121 0.125 0.496
0.375 0.879 0.004
0.629 0.625 0.504
0.875 0.371 0.996
0.250 0.750 0.500
0.500 0.500 0.000
0.000 0.000 0.000
0.750 0.250 0.500



(11)
YCdRhO4 | the Alexandria database | PBE-GGA | optimized geometry; density of states at the Fermi level = 0.021 states/eV/atom; volume = 14.122 A^3/atom; energy = -93.75 eV for the cell shown; E_form (uncorrected) = -1.76 eV/atom
1.0
-3.280 3.401 4.431
3.280 -3.401 4.431
3.280 3.401 -4.431
Y Cd Rh O
2 2 2 8
direct
0.000 0.000 0.000
0.500 0.000 0.500
0.367 0.617 0.750
0.633 0.383 0.250
0.000 0.000 0.500
0.000 0.500 0.000
0.193 0.743 0.450
0.207 0.257 0.950
0.237 0.210 0.473
0.237 0.765 0.027
0.763 0.235 0.973
0.763 0.790 0.527
0.793 0.743 0.050
0.807 0.257 0.550



(12)
CaOsRuSe2 | the Alexandria database | PBE-GGA | optimized geometry; excess energy over the best structure of this formula in the dataset = 626 meV per atom; density of states at the Fermi level = 0.889 states/eV/atom; volume = 24.406 A^3/atom; energy = -24.53 eV for the cell shown; E_form (uncorrected) = 0.99 eV/atom
1.0
4.751 0.000 0.000
0.000 4.751 0.000
0.000 0.000 5.405
Ca Os Ru Se
1 1 1 2
direct
0.000 0.000 0.000
0.500 0.500 0.000
0.000 0.000 0.500
0.000 0.500 0.500
0.500 0.000 0.500